[1]
Density functional theory data (GGA-PBE) for an optimized crystal structure of TbTm3C2S2.

The value obtained for the total magnetic moment is 0.00 μB per atom. Its total DFT energy (no corrections) is -55.05 eV per formula unit.

It has space group P3m1 (No. 156), with a = 3.6639 Å, b = 3.6639 Å, c = 12.7520 Å, α = 90.00°, β = 90.00° and γ = 120.00°. The inequivalent atoms are Tb at (0.0000, 0.0000, 0.0000), Tm at (0.0000, 0.0000, 0.2947), Tm at (0.6667, 0.3333, 0.4995), Tm at (0.6667, 0.3333, 0.7900), C at (0.3333, 0.6667, 0.3978), C at (0.3333, 0.6667, 0.8932), S at (0.0000, 0.0000, 0.6456) and S at (0.6667, 0.3333, 0.1510).

=====

[2]
Density functional theory data (GGA-PBE) for an optimized crystal structure of YTaSe4.

The calculation puts the excess energy over the best structure of this formula in the dataset at 0 meV/atom. The value obtained for the total magnetic moment is 0.00 μB per atom. Its total DFT energy (no corrections) is -38.24 eV per formula unit.

It has space group Cmm2 (No. 35), with a = 3.708 Å, b = 19.839 Å, c = 6.538 Å, α = 90.00°, β = 90.00° and γ = 90.00°. The inequivalent atoms are Y at (0.000, 0.000, 0.000), Ta at (0.000, 0.500, 0.515), Se at (0.000, 0.083, 0.364) and Se at (0.000, 0.412, 0.803).

=====

[3]
Density functional theory data (GGA-PBE) for an optimized crystal structure of DySiBi.

The calculation puts the excess energy over the best structure of this formula in the dataset at 179 meV/atom. The value obtained for the total magnetic moment is 0.00 μB per atom. Its total DFT energy (no corrections) is -13.85 eV per formula unit.

It has space group F-43m (No. 216), with a = 7.087 Å, b = 7.087 Å, c = 7.087 Å, α = 90.00°, β = 90.00° and γ = 90.00°. The inequivalent atoms are Dy at (0.000, 0.000, 0.000), Si at (0.250, 0.250, 0.250) and Bi at (0.250, 0.250, 0.750).

=====

[4]
Density functional theory data (GGA-PBE) for an optimized crystal structure of GdMgZn.

The value obtained for the total magnetic moment is 0.00 μB per atom. Its total DFT energy (no corrections) is -7.28 eV per formula unit.

It has space group P-3m1 (No. 164), with a = 3.5273 Å, b = 3.5273 Å, c = 13.2369 Å, α = 90.00°, β = 90.00° and γ = 120.00°. The inequivalent atoms are Gd at (0.3333, 0.6667, 0.1052), Mg at (0.3333, 0.6667, 0.6971) and Zn at (0.3333, 0.6667, 0.4437).

=====

[5]
Density functional theory data (GGA-PBE) for an optimized crystal structure of SrOsW.

The calculation puts the excess energy over the best structure of this formula in the dataset at 1651 meV/atom. The value obtained for the total magnetic moment is 0.33 μB per atom. Its total DFT energy (no corrections) is -17.16 eV per formula unit.

It has space group F-43m (No. 216), with a = 6.503 Å, b = 6.503 Å, c = 6.503 Å, α = 90.00°, β = 90.00° and γ = 90.00°. The inequivalent atoms are Sr at (0.000, 0.000, 0.000), Os at (0.250, 0.250, 0.750) and W at (0.250, 0.250, 0.250).

=====

[6]
Density functional theory data (GGA-PBE) for an optimized crystal structure of Na4P2PdS8.

Its total DFT energy (no corrections) is -65.35 eV per formula unit.

It has space group P-1 (No. 2), with a = 5.951 Å, b = 6.794 Å, c = 8.447 Å, α = 88.59°, β = 87.05° and γ = 86.68°. The inequivalent atoms are Na at (0.234, 0.115, 0.376), Na at (0.247, 0.686, 0.964), P at (0.317, 0.218, 0.773), Pd at (0.500, 0.500, 0.500), S at (0.154, 0.432, 0.631), S at (0.248, 0.260, 0.007), S at (0.261, 0.943, 0.697) and S at (0.354, 0.708, 0.295).

=====

[7]
Density functional theory data (GGA-PBE) for an optimized crystal structure of Hf4InN3.

The value obtained for the total magnetic moment is 0.00 μB per atom. Its total DFT energy (no corrections) is -78.73 eV per formula unit.

It has space group P6_3/mmc (No. 194), with a = 3.2084 Å, b = 3.2084 Å, c = 25.3525 Å, α = 90.00°, β = 90.00° and γ = 120.00°. The inequivalent atoms are Hf at (0.0000, 0.0000, 0.1530), Hf at (0.3333, 0.6667, 0.0534), In at (0.3333, 0.6667, 0.2500), N at (0.0000, 0.0000, 0.0000) and N at (0.3333, 0.6667, 0.6028).

=====

[8]
Density functional theory data (GGA-PBE) for an optimized crystal structure of Li4MgInAg2.

Its total DFT energy (no corrections) is -19.46 eV per formula unit.

It has space group P-4m2 (No. 115), with a = 4.621 Å, b = 4.621 Å, c = 6.469 Å, α = 90.00°, β = 90.00° and γ = 90.00°. The inequivalent atoms are Li at (0.000, 0.000, 0.000), Li at (0.000, 0.500, 0.749), Li at (0.500, 0.500, 0.500), Mg at (0.500, 0.500, 0.000), In at (0.000, 0.000, 0.500) and Ag at (0.000, 0.500, 0.245).

=====

[9]
Density functional theory data (GGA-PBE) for an optimized crystal structure of Th2Pt2Au.

The value obtained for the total magnetic moment is 0.00 μB per atom. Its energy relative to the elements is -1.105 eV per atom. Its total DFT energy (no corrections) is -35.73 eV per formula unit.

It has space group P4/mbm (No. 127), with a = 7.857 Å, b = 7.857 Å, c = 3.819 Å, α = 90.00°, β = 90.00° and γ = 90.00°. The inequivalent atoms are Th at (0.175, 0.325, 0.000), Pt at (0.129, 0.629, 0.500) and Au at (0.000, 0.000, 0.500).

=====

[10]
Density functional theory data (GGA-PBE) for an optimized crystal structure of AcPmDy.

The calculation puts the excess energy over the best structure of this formula in the dataset at 0 meV/atom. The value obtained for the total magnetic moment is 0.02 μB per atom. Its energy relative to the elements is 0.659 eV per atom. Its total DFT energy (no corrections) is -11.48 eV per formula unit.

It has space group F-43m (No. 216), with a = 8.031 Å, b = 8.031 Å, c = 8.031 Å, α = 90.00°, β = 90.00° and γ = 90.00°. The inequivalent atoms are Ac at (0.000, 0.000, 0.000), Pm at (0.000, 0.000, 0.500) and Dy at (0.250, 0.250, 0.250).

=====

[11]
Density functional theory data (GGA-PBE) for an optimized crystal structure of BeAlFe.

The calculation puts the excess energy over the best structure of this formula in the dataset at 541 meV/atom. The value obtained for the total magnetic moment is 0.37 μB per atom. Its total DFT energy (no corrections) is -14.76 eV per formula unit.

It has space group F-43m (No. 216), with a = 5.428 Å, b = 5.428 Å, c = 5.428 Å, α = 90.00°, β = 90.00° and γ = 90.00°. The inequivalent atoms are Be at (0.000, 0.000, 0.000), Al at (0.000, 0.000, 0.500) and Fe at (0.250, 0.250, 0.750).

=====

[12]
Density functional theory data (GGA-PBE) for an optimized crystal structure of Er3Tm3Bi2Os.

The calculation puts the excess energy over the best structure of this formula in the dataset at 22 meV/atom. The value obtained for the total magnetic moment is 0.00 μB per atom. Its total DFT energy (no corrections) is -51.29 eV per formula unit.

It has space group P-62m (No. 189), with a = 8.2108 Å, b = 8.2108 Å, c = 4.2217 Å, α = 90.00°, β = 90.00° and γ = 120.00°. The inequivalent atoms are Er at (0.0000, 0.2336, 0.0000), Tm at (0.0000, 0.6173, 0.5000), Bi at (0.3333, 0.6667, 0.0000) and Os at (0.0000, 0.0000, 0.5000).

=====

[13]
Density functional theory data (GGA-PBE) for an optimized crystal structure of Y4Hf2Au3N3.

The value obtained for the total magnetic moment is 0.00 μB per atom. Its total DFT energy (no corrections) is -93.87 eV per formula unit.

It has space group C2/c (No. 15), with a = 10.398 Å, b = 6.021 Å, c = 14.523 Å, α = 90.00°, β = 103.81° and γ = 90.00°. The inequivalent atoms are Y at (0.117, 0.075, 0.104), Y at (0.212, 0.089, 0.396), Hf at (0.063, 0.411, 0.923), Au at (0.000, 0.139, 0.750), Au at (0.140, 0.443, 0.248), N at (0.075, 0.274, 0.500) and N at (0.250, 0.250, 0.000).

=====

[14]
Density functional theory data (GGA-PBE) for an optimized crystal structure of SrAl2GaPt.

The value obtained for the total magnetic moment is 0.00 μB per atom. Its total DFT energy (no corrections) is -21.95 eV per formula unit.

It has space group I4mm (No. 107), with a = 4.311 Å, b = 4.311 Å, c = 11.094 Å, α = 90.00°, β = 90.00° and γ = 90.00°. The inequivalent atoms are Sr at (0.000, 0.000, 0.000), Al at (0.000, 0.500, 0.249), Ga at (0.000, 0.000, 0.397) and Pt at (0.000, 0.000, 0.630).

=====

[15]
Density functional theory data (GGA-PBE) for an optimized crystal structure of SmErNi4.

The calculation puts the excess energy over the best structure of this formula in the dataset at 0 meV/atom. The value obtained for the total magnetic moment is 0.00 μB per atom. Its energy relative to the elements is -0.424 eV per atom. Its total DFT energy (no corrections) is -34.09 eV per formula unit.

It has space group F-43m (No. 216), with a = 7.178 Å, b = 7.178 Å, c = 7.178 Å, α = 90.00°, β = 90.00° and γ = 90.00°. The inequivalent atoms are Sm at (0.000, 0.000, 0.000), Er at (0.250, 0.250, 0.250) and Ni at (0.124, 0.124, 0.624).

=====

[16]
Density functional theory data (GGA-PBE) for an optimized crystal structure of B2W4N5.

The value obtained for the total magnetic moment is 0.00 μB per atom. Its total DFT energy (no corrections) is -105.28 eV per formula unit.

It has space group P-3m1 (No. 164), with a = 3.1800 Å, b = 3.1800 Å, c = 12.9223 Å, α = 90.00°, β = 90.00° and γ = 120.00°. The inequivalent atoms are B at (0.3333, 0.6667, 0.4693), W at (0.0000, 0.0000, 0.2708), W at (0.3333, 0.6667, 0.1100), N at (0.0000, 0.0000, 0.0000), N at (0.3333, 0.6667, 0.3546) and N at (0.3333, 0.6667, 0.8287).

=====

[17]
Density functional theory data (GGA-PBE) for an optimized crystal structure of Dy2Tm3Lu2Ni2Te2.

The calculation puts the excess energy over the best structure of this formula in the dataset at 5 meV/atom. The value obtained for the total magnetic moment is 0.00 μB per atom. Its total DFT energy (no corrections) is -56.53 eV per formula unit.

It has space group Imm2 (No. 44), with a = 3.838 Å, b = 15.436 Å, c = 9.492 Å, α = 90.00°, β = 90.00° and γ = 90.00°. The inequivalent atoms are Dy at (0.000, 0.146, 0.000), Tm at (0.000, 0.185, 0.353), Tm at (0.000, 0.500, 0.729), Lu at (0.000, 0.365, 0.147), Ni at (0.000, 0.263, 0.661), Te at (0.000, 0.000, 0.497) and Te at (0.000, 0.500, 0.390).

=====

[18]
Density functional theory data (GGA-PBE) for an optimized crystal structure of NpNi.

The value obtained for the total magnetic moment is 1.89 μB per atom. Its energy relative to the elements is 0.378 eV per atom. Its total DFT energy (no corrections) is -17.58 eV per formula unit.

It has space group P6_3/mmc (No. 194), with a = 3.7763 Å, b = 3.7763 Å, c = 6.3445 Å, α = 90.00°, β = 90.00° and γ = 120.00°. The inequivalent atoms are Np at (0.0000, 0.0000, 0.0000) and Ni at (0.3333, 0.6667, 0.2500).

=====

[19]
Density functional theory data (GGA-PBE) for an optimized crystal structure of NpZnSi.

The value obtained for the total magnetic moment is 1.22 μB per atom. Its total DFT energy (no corrections) is -18.00 eV per formula unit.

It has space group F-43m (No. 216), with a = 6.540 Å, b = 6.540 Å, c = 6.540 Å, α = 90.00°, β = 90.00° and γ = 90.00°. The inequivalent atoms are Np at (0.000, 0.000, 0.000), Zn at (0.250, 0.250, 0.250) and Si at (0.250, 0.250, 0.750).

=====

[20]
Density functional theory data (GGA-PBE) for an optimized crystal structure of BaHg2Pb.

The calculation puts the excess energy over the best structure of this formula in the dataset at 107 meV/atom. Its total DFT energy (no corrections) is -7.52 eV per formula unit.

It has space group F-43m (No. 216), with a = 7.927 Å, b = 7.927 Å, c = 7.927 Å, α = 90.00°, β = 90.00° and γ = 90.00°. The inequivalent atoms are Ba at (0.000, 0.000, 0.000), Hg at (0.000, 0.000, 0.500), Hg at (0.250, 0.250, 0.750) and Pb at (0.250, 0.250, 0.250).

=====

[21]
Density functional theory data (GGA-PBE) for an optimized crystal structure of PuHgPd.

The value obtained for the total magnetic moment is 1.95 μB per atom. Its energy relative to the elements is -0.313 eV per atom. Its total DFT energy (no corrections) is -20.54 eV per formula unit.

It has space group F-43m (No. 216), with a = 6.736 Å, b = 6.736 Å, c = 6.736 Å, α = 90.00°, β = 90.00° and γ = 90.00°. The inequivalent atoms are Pu at (0.000, 0.000, 0.000), Hg at (0.000, 0.000, 0.500) and Pd at (0.250, 0.250, 0.750).

=====

[22]
Density functional theory data (GGA-PBE) for an optimized crystal structure of Sc2GaRe.

The value obtained for the total magnetic moment is 0.01 μB per atom. Its total DFT energy (no corrections) is -28.46 eV per formula unit.

It has space group F-43m (No. 216), with a = 6.519 Å, b = 6.519 Å, c = 6.519 Å, α = 90.00°, β = 90.00° and γ = 90.00°. The inequivalent atoms are Sc at (0.000, 0.000, 0.000), Sc at (0.250, 0.250, 0.250), Ga at (0.000, 0.000, 0.500) and Re at (0.250, 0.250, 0.750).

=====

[23]
Density functional theory data (GGA-PBE) for an optimized crystal structure of LiZn2Pt.

The value obtained for the total magnetic moment is 0.00 μB per atom. Its total DFT energy (no corrections) is -12.74 eV per formula unit.

It has space group I4/mmm (No. 139), with a = 4.293 Å, b = 4.293 Å, c = 6.110 Å, α = 90.00°, β = 90.00° and γ = 90.00°. The inequivalent atoms are Li at (0.000, 0.000, 0.000), Zn at (0.000, 0.500, 0.250) and Pt at (0.000, 0.000, 0.500).

=====

[24]
Density functional theory data (GGA-PBE) for an optimized crystal structure of LiTcNi.

The calculation puts the excess energy over the best structure of this formula in the dataset at 0 meV/atom. The value obtained for the total magnetic moment is 0.00 μB per atom. Its total DFT energy (no corrections) is -16.21 eV per formula unit.

It has space group F-43m (No. 216), with a = 5.470 Å, b = 5.470 Å, c = 5.470 Å, α = 90.00°, β = 90.00° and γ = 90.00°. The inequivalent atoms are Li at (0.000, 0.000, 0.000), Tc at (0.000, 0.000, 0.500) and Ni at (0.250, 0.250, 0.250).